Record 1
YGaCoRh2 (GGA-PBE, optimized geometry); magnetization = 2.37 μB/cell; formation energy = 7.21 eV/f.u.; symmetry = P4/mmm; calculated density = 5.57 g cm⁻³; N(E_F) = 7.30 states/eV per cell
1.0
4.8577 0.0000 0.0000
0.0000 4.8577 0.0000
0.0000 0.0000 5.3509
Y Ga Co Rh
1 1 1 2
Cartesian
0.0000 0.0000 0.0000
0.0000 0.0000 2.6754
2.4288 2.4288 2.6754
0.0000 2.4288 0.0000
2.4288 0.0000 0.0000

Record 2
ZnGaCoRh (GGA-PBE, optimized geometry); magnetization = 0.01 μB/cell; formation energy = -1.46 eV/f.u.; symmetry = F-43m; calculated density = 9.52 g cm⁻³; N(E_F) = 8.28 states/eV per cell
1.0
5.9168 0.0000 0.0000
0.0000 5.9168 0.0000
0.0000 0.0000 5.9168
Zn Ga Co Rh
4 4 4 4
Cartesian
0.0000 0.0000 0.0000
0.0000 2.9584 2.9584
2.9584 0.0000 2.9584
2.9584 2.9584 0.0000
0.0000 0.0000 2.9584
0.0000 2.9584 0.0000
2.9584 0.0000 0.0000
2.9584 2.9584 2.9584
1.4792 1.4792 4.4376
1.4792 4.4376 1.4792
4.4376 1.4792 1.4792
4.4376 4.4376 4.4376
1.4792 1.4792 1.4792
1.4792 4.4376 4.4376
4.4376 1.4792 4.4376
4.4376 4.4376 1.4792

Record 3
Ga2Co2Ru (GGA-PBE, optimized geometry); magnetization = 0.58 μB/cell; formation energy = -0.23 eV/f.u.; symmetry = P4/mbm; calculated density = 9.38 g cm⁻³; N(E_F) = 9.34 states/eV per cell; ΔE to the lowest computed polymorph = 0.00 kJ/mol of atoms
1.0
6.8609 0.0000 0.0000
0.0000 6.8609 0.0000
0.0000 0.0000 2.6944
Ga Co Ru
4 4 2
Cartesian
0.9500 2.4805 0.0000
2.4805 5.9109 0.0000
4.3804 0.9500 0.0000
5.9109 4.3804 0.0000
1.1067 4.5371 1.3472
2.3238 1.1067 1.3472
4.5371 5.7543 1.3472
5.7543 2.3238 1.3472
0.0000 0.0000 0.0000
3.4305 3.4305 0.0000

Record 4
GaCoRu2 (GGA-PBE, optimized geometry); magnetization = 7.20 μB/cell; formation energy = 2.07 eV/f.u.; symmetry = I-42d; calculated density = 9.43 g cm⁻³; N(E_F) = 20.08 states/eV per cell
1.0
6.7492 0.0000 0.0000
0.0000 6.7492 0.0000
0.0000 0.0000 5.1155
Ga Co Ru
4 4 8
Cartesian
0.0000 0.0000 0.0000
0.0000 3.3746 1.2789
3.3746 0.0000 3.8366
3.3746 3.3746 2.5578
0.0000 0.0000 2.5578
0.0000 3.3746 3.8366
3.3746 0.0000 1.2789
3.3746 3.3746 0.0000
1.5575 1.6873 3.1972
1.6873 4.9321 4.4761
1.6873 5.1917 1.9183
1.8171 1.6873 0.6394
4.9321 5.0619 0.6394
5.0619 1.5575 1.9183
5.0619 1.8171 4.4761
5.1917 5.0619 3.1972

Record 5
Ga4CoRu2 (GGA-PBE, optimized geometry); magnetization = 0.00 μB/cell; formation energy = -1.52 eV/f.u.; symmetry = R-3m; calculated density = 8.68 g cm⁻³; N(E_F) = 5.10 states/eV per cell
1.0
2.1078 1.2169 6.7098
-2.1078 1.2169 6.7098
0.0000 -2.4339 6.7098
Ga Co Ru
4 1 2
Cartesian
0.0000 0.0000 2.4037
0.0000 0.0000 7.4973
0.0000 0.0000 12.6321
0.0000 0.0000 17.7256
0.0000 0.0000 10.0647
0.0000 0.0000 4.9625
0.0000 0.0000 15.1668

Record 6
Ga3CoRu2 (GGA-PBE, optimized geometry); magnetization = 0.00 μB/cell; formation energy = -1.73 eV/f.u.; symmetry = P4/mmm; calculated density = 9.78 g cm⁻³; N(E_F) = 5.68 states/eV per cell
1.0
2.9922 0.0000 0.0000
0.0000 2.9922 0.0000
0.0000 0.0000 8.9201
Ga Co Ru
3 1 2
Cartesian
0.0000 0.0000 0.0000
0.0000 0.0000 3.0531
0.0000 0.0000 5.8670
1.4961 1.4961 4.4600
1.4961 1.4961 1.5475
1.4961 1.4961 7.3726

Record 7
GaCo2Ru (GGA-PBE, optimized geometry); magnetization = 3.55 μB/cell; formation energy = 0.06 eV/f.u.; symmetry = P4/mmm; calculated density = 9.52 g cm⁻³; N(E_F) = 7.16 states/eV per cell
1.0
3.6676 0.0000 0.0000
0.0000 3.6676 0.0000
0.0000 0.0000 3.7431
Ga Co Ru
1 2 1
Cartesian
0.0000 0.0000 0.0000
0.0000 1.8338 1.8715
1.8338 0.0000 1.8715
1.8338 1.8338 0.0000

Record 8
GaCoRu2 (GGA-PBE, optimized geometry); magnetization = 2.18 μB/cell; formation energy = 0.06 eV/f.u.; symmetry = P4/mmm; calculated density = 10.36 g cm⁻³; N(E_F) = 5.55 states/eV per cell
1.0
2.9440 0.0000 0.0000
0.0000 2.9440 0.0000
0.0000 0.0000 6.1185
Ga Co Ru
1 1 2
Cartesian
0.0000 0.0000 0.0000
0.0000 0.0000 3.0593
1.4720 1.4720 1.5628
1.4720 1.4720 4.5558